# 1
An optimized crystal structure of Zr4RePt, computed with PBE.

## Properties
- SG = F-43m, No. 216
- ΔH_f (0 K) (eV per atom) = 0.453

a = 5.517 Å, b = 5.517 Å, c = 5.517 Å
α = 60.00°, β = 60.00°, γ = 60.00°
Element x y z (fractional)
Zr: 0.376 0.376 0.376
Zr: 0.376 0.376 0.873
Zr: 0.376 0.873 0.376
Zr: 0.873 0.376 0.376
Re: 0.750 0.750 0.750
Pt: 0.000 0.000 0.000

***

# 2
An optimized crystal structure of ZrRe2Pt, computed with PBE.

## Properties
- SG = P4mm, No. 99
- ΔH_f (0 K) (eV per atom) = -0.174
- energy above the most stable polymorph in this dataset (kJ per mole of atoms) = 5.7

a = 3.380 Å, b = 3.380 Å, c = 5.964 Å
α = 90.00°, β = 90.00°, γ = 90.00°
Element x y z (fractional)
Zr: 0.000 0.000 0.000
Re: 0.000 0.000 0.511
Re: 0.500 0.500 0.706
Pt: 0.500 0.500 0.233

***

# 3
An optimized crystal structure of Zr2RePt, computed with PBE.

## Properties
- SG = F-43m, No. 216
- ΔH_f (0 K) (eV per atom) = -0.191

a = 6.597 Å, b = 6.597 Å, c = 6.597 Å
α = 90.00°, β = 90.00°, γ = 90.00°
Element x y z (fractional)
Zr: 0.000 0.000 0.000
Zr: 0.000 0.500 0.500
Zr: 0.250 0.250 0.250
Zr: 0.250 0.750 0.750
Zr: 0.500 0.000 0.500
Zr: 0.500 0.500 0.000
Zr: 0.750 0.250 0.750
Zr: 0.750 0.750 0.250
Re: 0.000 0.000 0.500
Re: 0.000 0.500 0.000
Re: 0.500 0.000 0.000
Re: 0.500 0.500 0.500
Pt: 0.250 0.250 0.750
Pt: 0.250 0.750 0.250
Pt: 0.750 0.250 0.250
Pt: 0.750 0.750 0.750

***

# 4
An optimized crystal structure of ZrRe2Pt, computed with PBE.

## Properties
- SG = Pmmm, No. 47
- ΔH_f (0 K) (eV per atom) = 0.049
- energy above the most stable polymorph in this dataset (kJ per mole of atoms) = 27.3

a = 2.706 Å, b = 4.178 Å, c = 5.971 Å
α = 90.00°, β = 90.00°, γ = 90.00°
Element x y z (fractional)
Zr: 0.000 0.000 0.000
Re: 0.500 0.500 0.283
Re: 0.500 0.500 0.717
Pt: 0.000 0.000 0.500

***

# 5
An optimized crystal structure of Zr2RePt, computed with PBE.

## Properties
- SG = P4/mmm, No. 123
- ΔH_f (0 K) (eV per atom) = -0.614

a = 4.645 Å, b = 4.645 Å, c = 3.409 Å
α = 90.00°, β = 90.00°, γ = 90.00°
Element x y z (fractional)
Zr: 0.000 0.500 0.000
Zr: 0.500 0.000 0.000
Re: 0.000 0.000 0.500
Pt: 0.500 0.500 0.500

***

# 6
An optimized crystal structure of ZrRePt2, computed with PBE.

## Properties
- SG = P4/mmm, No. 123
- ΔH_f (0 K) (eV per atom) = -0.545
- energy above the most stable polymorph in this dataset (kJ per mole of atoms) = 0.0

a = 3.992 Å, b = 3.992 Å, c = 4.130 Å
α = 90.00°, β = 90.00°, γ = 90.00°
Element x y z (fractional)
Zr: 0.000 0.000 0.000
Re: 0.500 0.500 0.000
Pt: 0.000 0.500 0.500
Pt: 0.500 0.000 0.500

***

# 7
An optimized crystal structure of ZrRe2Pt, computed with PBE.

## Properties
- SG = Fmmm, No. 69
- ΔH_f (0 K) (eV per atom) = -0.083
- energy above the most stable polymorph in this dataset (kJ per mole of atoms) = 14.5

a = 5.589 Å, b = 5.598 Å, c = 8.472 Å
α = 90.00°, β = 90.00°, γ = 90.00°
Element x y z (fractional)
Zr: 0.000 0.000 0.000
Zr: 0.000 0.500 0.500
Zr: 0.500 0.000 0.500
Zr: 0.500 0.500 0.000
Re: 0.250 0.250 0.250
Re: 0.250 0.250 0.750
Re: 0.250 0.750 0.250
Re: 0.250 0.750 0.750
Re: 0.750 0.250 0.250
Re: 0.750 0.250 0.750
Re: 0.750 0.750 0.250
Re: 0.750 0.750 0.750
Pt: 0.000 0.000 0.500
Pt: 0.000 0.500 0.000
Pt: 0.500 0.000 0.000
Pt: 0.500 0.500 0.500

***

# 8
An optimized crystal structure of ZrRePt2, computed with PBE.

## Properties
- SG = P4/mmm, No. 123
- ΔH_f (0 K) (eV per atom) = -0.312
- energy above the most stable polymorph in this dataset (kJ per mole of atoms) = 22.4

a = 3.496 Å, b = 3.496 Å, c = 5.584 Å
α = 90.00°, β = 90.00°, γ = 90.00°
Element x y z (fractional)
Zr: 0.000 0.000 0.000
Re: 0.000 0.000 0.500
Pt: 0.500 0.500 0.261
Pt: 0.500 0.500 0.739

***

# 9
An optimized crystal structure of ZrRe2Pt, computed with PBE.

## Properties
- SG = R3m, No. 160
- ΔH_f (0 K) (eV per atom) = -0.035
- energy above the most stable polymorph in this dataset (kJ per mole of atoms) = 19.1

a = 2.848 Å, b = 2.848 Å, c = 28.452 Å
α = 90.00°, β = 90.00°, γ = 120.00°
Element x y z (fractional)
Zr: 0.000 0.000 0.000
Zr: 0.333 0.667 0.667
Zr: 0.667 0.333 0.333
Re: 0.000 0.000 0.498
Re: 0.000 0.000 0.758
Re: 0.333 0.667 0.165
Re: 0.333 0.667 0.425
Re: 0.667 0.333 0.091
Re: 0.667 0.333 0.831
Pt: 0.000 0.000 0.248
Pt: 0.333 0.667 0.914
Pt: 0.667 0.333 0.581

***

# 10
An optimized crystal structure of ZrRePt2, computed with PBE.

## Properties
- SG = Pmmm, No. 47
- ΔH_f (0 K) (eV per atom) = -0.475
- energy above the most stable polymorph in this dataset (kJ per mole of atoms) = 6.7

a = 2.814 Å, b = 4.123 Å, c = 5.688 Å
α = 90.00°, β = 90.00°, γ = 90.00°
Element x y z (fractional)
Zr: 0.000 0.000 0.000
Re: 0.000 0.000 0.500
Pt: 0.500 0.500 0.264
Pt: 0.500 0.500 0.736

***

# 11
An optimized crystal structure of Zr2RePt, computed with PBE.

## Properties
- SG = P4/mmm, No. 123
- ΔH_f (0 K) (eV per atom) = -0.662

a = 3.351 Å, b = 3.351 Å, c = 6.567 Å
α = 90.00°, β = 90.00°, γ = 90.00°
Element x y z (fractional)
Zr: 0.000 0.000 0.242
Zr: 0.000 0.000 0.758
Re: 0.500 0.500 0.000
Pt: 0.500 0.500 0.500

***

# 12
An optimized crystal structure of ZrRePt, computed with PBE.

## Properties
- SG = F-43m, No. 216
- ΔH_f (0 K) (eV per atom) = 0.247
- energy above the most stable polymorph in this dataset (kJ per mole of atoms) = 48.6

a = 6.242 Å, b = 6.242 Å, c = 6.242 Å
α = 90.00°, β = 90.00°, γ = 90.00°
Element x y z (fractional)
Zr: 0.000 0.000 0.000
Zr: 0.000 0.500 0.500
Zr: 0.500 0.000 0.500
Zr: 0.500 0.500 0.000
Re: 0.000 0.000 0.500
Re: 0.000 0.500 0.000
Re: 0.500 0.000 0.000
Re: 0.500 0.500 0.500
Pt: 0.250 0.250 0.750
Pt: 0.250 0.750 0.250
Pt: 0.750 0.250 0.250
Pt: 0.750 0.750 0.750

***

# 13
An optimized crystal structure of ZrRePt2, computed with PBE.

## Properties
- SG = I4/mmm, No. 139
- ΔH_f (0 K) (eV per atom) = -0.496
- energy above the most stable polymorph in this dataset (kJ per mole of atoms) = 4.7

a = 3.993 Å, b = 3.993 Å, c = 8.279 Å
α = 90.00°, β = 90.00°, γ = 90.00°
Element x y z (fractional)
Zr: 0.000 0.000 0.000
Zr: 0.500 0.500 0.500
Re: 0.000 0.000 0.500
Re: 0.500 0.500 0.000
Pt: 0.000 0.500 0.250
Pt: 0.000 0.500 0.750
Pt: 0.500 0.000 0.250
Pt: 0.500 0.000 0.750

***

# 14
An optimized crystal structure of ZrRePt2, computed with PBE.

## Properties
- SG = Pmm2, No. 25
- ΔH_f (0 K) (eV per atom) = -0.496
- energy above the most stable polymorph in this dataset (kJ per mole of atoms) = 4.7

a = 2.822 Å, b = 4.631 Å, c = 5.044 Å
α = 90.00°, β = 90.00°, γ = 90.00°
Element x y z (fractional)
Zr: 0.000 0.000 0.000
Re: 0.000 0.500 0.353
Pt: 0.500 0.000 0.489
Pt: 0.500 0.500 0.824

***

# 15
An optimized crystal structure of ZrRe2Pt, computed with PBE.

## Properties
- SG = F-43m, No. 216
- ΔH_f (0 K) (eV per atom) = -0.030
- energy above the most stable polymorph in this dataset (kJ per mole of atoms) = 19.6

a = 6.444 Å, b = 6.444 Å, c = 6.444 Å
α = 90.00°, β = 90.00°, γ = 90.00°
Element x y z (fractional)
Zr: 0.000 0.000 0.000
Zr: 0.000 0.500 0.500
Zr: 0.500 0.000 0.500
Zr: 0.500 0.500 0.000
Re: 0.000 0.000 0.500
Re: 0.000 0.500 0.000
Re: 0.250 0.250 0.750
Re: 0.250 0.750 0.250
Re: 0.500 0.000 0.000
Re: 0.500 0.500 0.500
Re: 0.750 0.250 0.250
Re: 0.750 0.750 0.750
Pt: 0.250 0.250 0.250
Pt: 0.250 0.750 0.750
Pt: 0.750 0.250 0.750
Pt: 0.750 0.750 0.250

***

# 16
An optimized crystal structure of ZrRe2Pt, computed with PBE.

## Properties
- SG = I-42d, No. 122
- ΔH_f (0 K) (eV per atom) = 0.276
- energy above the most stable polymorph in this dataset (kJ per mole of atoms) = 49.1

a = 3.819 Å, b = 3.819 Å, c = 20.108 Å
α = 90.00°, β = 90.00°, γ = 90.00°
Element x y z (fractional)
Zr: 0.000 0.000 0.000
Zr: 0.000 0.500 0.250
Zr: 0.500 0.000 0.750
Zr: 0.500 0.500 0.500
Re: 0.206 0.250 0.625
Re: 0.250 0.706 0.875
Re: 0.250 0.794 0.375
Re: 0.294 0.250 0.125
Re: 0.706 0.750 0.125
Re: 0.750 0.206 0.375
Re: 0.750 0.294 0.875
Re: 0.794 0.750 0.625
Pt: 0.000 0.000 0.500
Pt: 0.000 0.500 0.750
Pt: 0.500 0.000 0.250
Pt: 0.500 0.500 0.000

***

# 17
An optimized crystal structure of ZrRe2Pt, computed with PBE.

## Properties
- SG = Pm, No. 6
- ΔH_f (0 K) (eV per atom) = -0.233
- energy above the most stable polymorph in this dataset (kJ per mole of atoms) = 0.0

a = 2.825 Å, b = 4.519 Å, c = 5.323 Å
α = 90.00°, β = 100.60°, γ = 90.00°
Element x y z (fractional)
Zr: 0.000 0.000 0.000
Re: 0.246 0.500 0.662
Re: 0.572 0.000 0.515
Pt: 0.551 0.500 0.201

***

# 18
An optimized crystal structure of Zr6RePt, computed with PBE.

## Properties
- SG = I4/mmm, No. 139
- ΔH_f (0 K) (eV per atom) = -0.302

a = 4.700 Å, b = 4.700 Å, c = 14.977 Å
α = 90.00°, β = 90.00°, γ = 90.00°
Element x y z (fractional)
Zr: 0.000 0.000 0.247
Zr: 0.000 0.000 0.753
Zr: 0.000 0.500 0.110
Zr: 0.000 0.500 0.390
Zr: 0.000 0.500 0.610
Zr: 0.000 0.500 0.890
Zr: 0.500 0.000 0.110
Zr: 0.500 0.000 0.390
Zr: 0.500 0.000 0.610
Zr: 0.500 0.000 0.890
Zr: 0.500 0.500 0.253
Zr: 0.500 0.500 0.747
Re: 0.000 0.000 0.000
Re: 0.500 0.500 0.500
Pt: 0.000 0.000 0.500
Pt: 0.500 0.500 0.000

***

# 19
An optimized crystal structure of ZrRePt3, computed with PBE.

## Properties
- SG = Pm-3m, No. 221
- ΔH_f (0 K) (eV per atom) = 0.781
- energy above the most stable polymorph in this dataset (kJ per mole of atoms) = 0.0

a = 4.802 Å, b = 4.802 Å, c = 4.802 Å
α = 90.00°, β = 90.00°, γ = 90.00°
Element x y z (fractional)
Zr: 0.000 0.000 0.000
Re: 0.500 0.500 0.500
Pt: 0.000 0.500 0.500
Pt: 0.500 0.000 0.500
Pt: 0.500 0.500 0.000

***

# 20
An optimized crystal structure of ZrRe2Pt, computed with PBE.

## Properties
- SG = P2/m, No. 10
- ΔH_f (0 K) (eV per atom) = -0.033
- energy above the most stable polymorph in this dataset (kJ per mole of atoms) = 19.3

a = 2.796 Å, b = 4.861 Å, c = 4.948 Å
α = 90.00°, β = 93.20°, γ = 90.00°
Element x y z (fractional)
Zr: 0.000 0.000 0.000
Re: 0.319 0.500 0.757
Re: 0.681 0.500 0.243
Pt: 0.500 0.000 0.500

***

Summary of size of the total moment in Bohr magnetons per cell
0.00, 0.00, 0.00, 0.00, 0.00, 0.45, 0.00, 0.44, 0.00, 0.00, 0.00, 0.00, 0.02, 0.00, 0.00, 0.00, 0.00, 0.00, 0.00, 0.00
(order as listed above)
Summary of Fermi-level density of states in states/eV per cell
12.34, 2.85, 22.49, 4.01, 3.06, 3.77, 16.72, 4.78, 14.51, 2.89, 2.83, 17.96, 7.15, 2.16, 21.24, 15.33, 2.18, 17.14, 5.98, 4.23
(order as listed above)